(1)
# P2RuPtCl

A PBEsol-optimized structure of P2RuPtCl (SCAN, the Alexandria database).

a b c (Å): 4.446 4.446 4.654
angles (deg): 90.00 90.00 90.00
Space group P4/mmm (No. 123)
Asymmetric unit:
P 0.000 0.500 0.000 (multiplicity 2)
Ru 0.000 0.000 0.000 (multiplicity 1)
Pt 0.500 0.500 0.500 (multiplicity 1)
Cl 0.000 0.000 0.500 (multiplicity 1)

## Properties
E above lowest polymorph (meV/atom): 0
Volume (Å³ per atom): 18.39
E_tot (eV per atom): -25.922

***

(2)
# P2RuPtCl

A PBEsol-optimized structure of P2RuPtCl (SCAN, the Alexandria database).

a b c (Å): 4.569 4.569 4.727
angles (deg): 90.00 90.00 90.00
Space group P4/mmm (No. 123)
Asymmetric unit:
P 0.000 0.500 0.000 (multiplicity 2)
Ru 0.000 0.000 0.500 (multiplicity 1)
Pt 0.500 0.500 0.000 (multiplicity 1)
Cl 0.500 0.500 0.500 (multiplicity 1)

## Properties
E above lowest polymorph (meV/atom): 256
Volume (Å³ per atom): 19.73
E_tot (eV per atom): -25.666

***

(3)
# P2PtSCl

A PBEsol-optimized structure of P2PtSCl (SCAN, the Alexandria database).

a b c (Å): 4.494 4.494 4.278
angles (deg): 90.00 90.00 90.00
Space group P4/mmm (No. 123)
Asymmetric unit:
P 0.000 0.500 0.000 (multiplicity 2)
Pt 0.000 0.000 0.500 (multiplicity 1)
S 0.500 0.500 0.000 (multiplicity 1)
Cl 0.500 0.500 0.500 (multiplicity 1)

## Properties
Volume (Å³ per atom): 17.28
E_tot (eV per atom): -20.486

***

(4)
# SnPPtCl2

A PBEsol-optimized structure of SnPPtCl2 (SCAN, the Alexandria database).

a b c (Å): 4.777 4.777 4.740
angles (deg): 90.00 90.00 90.00
Space group P4/mmm (No. 123)
Asymmetric unit:
Sn 0.000 0.000 0.000 (multiplicity 1)
P 0.500 0.500 0.000 (multiplicity 1)
Pt 0.500 0.500 0.500 (multiplicity 1)
Cl 0.000 0.500 0.500 (multiplicity 2)

## Properties
Volume (Å³ per atom): 21.63
E_tot (eV per atom): -26.412

***

What is the formula in the third record? P2PtSCl

***

Which of these has the lowest volume? P2PtSCl